CsIn2SnPb4: relaxed, PBE.

Calculated formation energy in eV per atom: 0.004
Uncorrected energy in eV for the cell shown: -25.14
SG: No. 166
Crystal system: trigonal

abc: 5.6328 5.6328 10.8890
angles: 75.01 75.01 60.00
Last column: nearest neighbours and their distance in Å.
Atoms (fractional coordinates):
Sn: 0.5000 0.5000 0.5000  2 Pb 2.92
Cs: 0.0000 0.0000 0.0000  8 Pb 3.97-4.04
Pb: 0.1296 0.1296 0.6112  4 In 3.29-3.40, 3 Sn 3.45
In: 0.7649 0.7649 0.7054  7 Pb 3.29-3.40
Pb: 0.8704 0.8704 0.3888  4 In 3.29-3.40, 3 Sn 3.45
Pb: 0.4063 0.4063 0.7812  1 Sn 2.92
Pb: 0.5937 0.5937 0.2188  1 Sn 2.92
In: 0.2351 0.2351 0.2946  7 Pb 3.29-3.40